Entry 1:
First-principles (PBE) data for a geometry-optimized HfHgNF2 structure, as listed in Alexandria via LeMat-Bulk.

Lattice parameters (Å, degrees): 4.337 4.337 4.143 90.00 90.00 90.00
Fractional positions:
N 0.000 0.000 0.500
Hf 0.500 0.500 0.500
Hg 0.000 0.000 0.000
F 0.000 0.500 0.000
F 0.500 0.000 0.000

Formation energy from raw total energies   0.19 eV/atom
Raw total energy   -21.36 eV per cell
Size of the total moment   0.00 μB/cell

=====

Entry 2:
First-principles (PBE) data for a geometry-optimized HfHgNF2 structure, as listed in Alexandria via LeMat-Bulk.

Lattice parameters (Å, degrees): 4.210 4.210 4.271 90.00 90.00 90.00
Fractional positions:
N 0.000 0.000 0.500
Hf 0.000 0.000 0.000
Hg 0.500 0.500 0.500
F 0.000 0.500 0.000
F 0.500 0.000 0.000

Formation energy from raw total energies   -1.73 eV/atom
Raw total energy   -30.98 eV per cell
Size of the total moment   0.00 μB/cell

=====

Entry 3:
First-principles (PBE) data for a geometry-optimized NaHf2HgF structure, as listed in Alexandria via LeMat-Bulk.

Lattice parameters (Å, degrees): 5.363 5.125 5.363 90.00 90.00 90.00
Site moments in Bohr magnetons follow the coordinates.
Fractional positions:
Na 0.500 0.500 0.500  0.01
Hf 0.000 0.000 0.500  0.38
Hf 0.500 0.000 0.000  0.36
Hg 0.000 0.000 0.000  0.03
F 0.000 0.500 0.000  0.03

Formation energy from raw total energies   0.78 eV/atom
Raw total energy   -19.48 eV per cell
Size of the total moment   1.42 μB/cell

=====

Entry 4:
First-principles (PBE) data for a geometry-optimized HfHgO2F structure, as listed in Alexandria via LeMat-Bulk.

Lattice parameters (Å, degrees): 4.234 4.234 4.427 90.00 90.00 90.00
Fractional positions:
Hf 0.500 0.500 0.500
Hg 0.000 0.000 0.000
O 0.000 0.500 0.000
O 0.500 0.000 0.000
F 0.000 0.000 0.500

Formation energy from raw total energies   -0.16 eV/atom
Raw total energy   -22.83 eV per cell
Size of the total moment   0.00 μB/cell

=====

Entry 5:
First-principles (PBE) data for a geometry-optimized HfHgO2F structure, as listed in Alexandria via LeMat-Bulk.

Lattice parameters (Å, degrees): 4.145 4.145 4.218 90.00 90.00 90.00
Fractional positions:
Hf 0.000 0.000 0.000
Hg 0.500 0.500 0.500
O 0.000 0.500 0.000
O 0.500 0.000 0.000
F 0.000 0.000 0.500

Formation energy from raw total energies   -2.32 eV/atom
Raw total energy   -33.65 eV per cell
Size of the total moment   0.00 μB/cell

=====

Entry 6:
First-principles (PBE) data for a geometry-optimized HfHgRuF2 structure, as listed in Alexandria via LeMat-Bulk.

Lattice parameters (Å, degrees): 4.040 5.833 4.040 90.00 90.00 90.00
Site moments in Bohr magnetons follow the coordinates.
Fractional positions:
Ru 0.500 0.500 0.500  1.78
Hf 0.000 0.000 0.000  -0.09
Hg 0.000 0.500 0.000  -0.04
F 0.000 0.000 0.500  0.00
F 0.500 0.000 0.000  0.01

Formation energy from raw total energies   -1.01 eV/atom
Raw total energy   -28.30 eV per cell
Size of the total moment   1.76 μB/cell

=====

Entry 7:
First-principles (PBE) data for a geometry-optimized HfHgRuF2 structure, as listed in Alexandria via LeMat-Bulk.

Lattice parameters (Å, degrees): 4.119 6.677 4.119 90.00 90.00 90.00
Site moments in Bohr magnetons follow the coordinates.
Fractional positions:
Ru 0.500 0.500 0.500  0.69
Hf 0.000 0.500 0.000  -0.36
Hg 0.000 0.000 0.000  -0.04
F 0.000 0.000 0.500  -0.01
F 0.500 0.000 0.000  -0.02

Formation energy from raw total energies   0.20 eV/atom
Raw total energy   -22.29 eV per cell
Size of the total moment   0.14 μB/cell

=====

Entry 8:
First-principles (PBE) data for a geometry-optimized HfSn2HgF structure, as listed in Alexandria via LeMat-Bulk.

Lattice parameters (Å, degrees): 5.600 5.523 5.600 90.00 90.00 90.00
Fractional positions:
F 0.500 0.500 0.500
Hf 0.000 0.000 0.000
Hg 0.000 0.500 0.000
Sn 0.000 0.000 0.500
Sn 0.500 0.000 0.000

Formation energy from raw total energies   0.24 eV/atom
Raw total energy   -18.95 eV per cell
Size of the total moment   0.00 μB/cell

=====

Entry 9:
First-principles (PBE) data for a geometry-optimized SrHfHgF2 structure, as listed in Alexandria via LeMat-Bulk.

Lattice parameters (Å, degrees): 5.099 5.449 5.099 90.00 90.00 90.00
Site moments in Bohr magnetons follow the coordinates.
Fractional positions:
Sr 0.500 0.500 0.500  0.13
Hf 0.000 0.500 0.000  1.18
Hg 0.000 0.000 0.000  0.07
F 0.000 0.000 0.500  0.01
F 0.500 0.000 0.000  0.01

Formation energy from raw total energies   -0.35 eV/atom
Raw total energy   -17.43 eV per cell
Size of the total moment   2.42 μB/cell

=====

Entry 10:
First-principles (PBE) data for a geometry-optimized Hf2TaHgF structure, as listed in Alexandria via LeMat-Bulk.

Lattice parameters (Å, degrees): 5.349 4.168 5.349 90.00 90.00 90.00
Fractional positions:
F 0.000 0.500 0.000
Hf 0.000 0.000 0.500
Hf 0.500 0.000 0.000
Hg 0.000 0.000 0.000
Ta 0.500 0.500 0.500

Formation energy from raw total energies   1.13 eV/atom
Raw total energy   -28.29 eV per cell
Size of the total moment   0.00 μB/cell

=====

Entry 11:
First-principles (PBE) data for a geometry-optimized HfTc2HgF structure, as listed in Alexandria via LeMat-Bulk.

Lattice parameters (Å, degrees): 4.189 4.822 4.189 90.00 90.00 90.00
Site moments in Bohr magnetons follow the coordinates.
Fractional positions:
F 0.000 0.000 0.000  0.00
Hf 0.500 0.500 0.500  -0.18
Hg 0.000 0.500 0.000  -0.01
Tc 0.000 0.000 0.500  0.84
Tc 0.500 0.000 0.000  0.76

Formation energy from raw total energies   0.39 eV/atom
Raw total energy   -30.92 eV per cell
Size of the total moment   1.39 μB/cell

=====

Entry 12:
First-principles (PBE) data for a geometry-optimized HfTlHgF6 structure, as listed in Alexandria via LeMat-Bulk.

Lattice parameters (Å, degrees): 6.541 6.541 10.020 90.00 90.00 120.00
Site moments in Bohr magnetons follow the coordinates.
Fractional positions:
Hf 0.667 0.333 0.250  0.01
Hf 0.333 0.667 0.750  0.01
Tl 0.000 0.000 0.000  0.01
Tl 0.000 0.000 0.500  0.01
Hg 0.333 0.667 0.250  0.52
Hg 0.667 0.333 0.750  0.52
F 0.665 0.588 0.137  0.04
F 0.923 0.335 0.137  0.04
F 0.335 0.923 0.637  0.04
F 0.077 0.665 0.863  0.04
F 0.412 0.335 0.363  0.04
F 0.923 0.588 0.363  0.04
F 0.588 0.923 0.863  0.04
F 0.665 0.077 0.363  0.04
F 0.077 0.412 0.637  0.04
F 0.412 0.077 0.137  0.04
F 0.588 0.665 0.637  0.04
F 0.335 0.412 0.863  0.04

Formation energy from raw total energies   -2.72 eV/atom
Raw total energy   -96.57 eV per cell
Size of the total moment   2.10 μB/cell

=====

Entry 13:
First-principles (PBE) data for a geometry-optimized HoHf2F11 structure, as listed in Alexandria via LeMat-Bulk.

Lattice parameters (Å, degrees): 7.734 8.233 8.233 73.88 61.98 61.98
Fractional positions:
Ho 0.750 0.750 0.750
Ho 0.250 0.250 0.250
Hf 0.638 0.682 0.318
Hf 0.362 0.318 0.682
Hf 0.862 0.182 0.818
Hf 0.138 0.818 0.182
F 0.637 0.709 0.557
F 0.363 0.291 0.443
F 0.097 0.557 0.709
F 0.863 0.943 0.791
F 0.903 0.443 0.291
F 0.137 0.057 0.209
F 0.403 0.791 0.943
F 0.597 0.209 0.057
F 0.500 0.500 0.500
F 0.000 0.000 0.000
F 0.872 0.783 0.217
F 0.128 0.217 0.783
F 0.628 0.283 0.717
F 0.372 0.717 0.283
F 0.461 0.959 0.319
F 0.539 0.041 0.681
F 0.260 0.319 0.959
F 0.039 0.181 0.541
F 0.740 0.681 0.041
F 0.961 0.819 0.459
F 0.240 0.541 0.181
F 0.760 0.459 0.819

Formation energy from raw total energies   -3.93 eV/atom
Raw total energy   -200.14 eV per cell
Size of the total moment   0.00 μB/cell

=====

Entry 14:
First-principles (PBE) data for a geometry-optimized HoHfF7 structure, as listed in Alexandria via LeMat-Bulk.

Lattice parameters (Å, degrees): 5.792 6.038 8.253 76.73 90.00 90.00
Fractional positions:
Ho 0.700 0.348 0.689
Ho 0.200 0.652 0.311
Hf 0.704 0.183 0.226
Hf 0.204 0.817 0.774
F 0.929 0.521 0.492
F 0.429 0.479 0.508
F 0.444 0.063 0.761
F 0.944 0.937 0.239
F 0.970 0.070 0.755
F 0.470 0.930 0.245
F 0.956 0.581 0.793
F 0.456 0.419 0.207
F 0.702 0.230 0.977
F 0.202 0.770 0.023
F 0.707 0.137 0.473
F 0.207 0.863 0.527
F 0.464 0.591 0.793
F 0.964 0.409 0.207

Formation energy from raw total energies   -4.00 eV/atom
Raw total energy   -127.25 eV per cell
Size of the total moment   0.12 μB/cell

=====

Entry 15:
First-principles (PBE) data for a geometry-optimized Hf3IF structure, as listed in Alexandria via LeMat-Bulk.

Lattice parameters (Å, degrees): 4.610 4.610 4.610 90.00 90.00 90.00
Fractional positions:
I 0.500 0.500 0.500
Hf 0.000 0.500 0.000
Hf 0.000 0.000 0.500
Hf 0.500 0.000 0.000
F 0.000 0.000 0.000

Formation energy from raw total energies   -0.05 eV/atom
Raw total energy   -33.54 eV per cell
Size of the total moment   0.00 μB/cell

=====

Entry 16:
First-principles (PBE) data for a geometry-optimized HfIF2 structure, as listed in Alexandria via LeMat-Bulk.

Lattice parameters (Å, degrees): 4.506 4.506 4.506 60.00 60.00 60.00
Fractional positions:
I 0.000 0.000 0.000
Hf 0.500 0.500 0.500
F 0.250 0.250 0.250
F 0.750 0.750 0.750

Formation energy from raw total energies   -1.19 eV/atom
Raw total energy   -20.01 eV per cell
Size of the total moment   0.00 μB/cell

=====

Entry 17:
First-principles (PBE) data for a geometry-optimized HfIF4 structure, as listed in Alexandria via LeMat-Bulk.

Lattice parameters (Å, degrees): 5.943 5.641 10.907 104.99 116.34 90.00
Fractional positions:
Hf 0.307 0.572 0.143
Hf 0.693 0.428 0.857
I 0.951 0.759 0.518
I 0.049 0.241 0.482
F 0.268 0.656 0.312
F 0.475 0.176 0.851
F 0.000 0.289 0.000
F 0.525 0.326 0.149
F 0.732 0.344 0.688
F 0.525 0.824 0.149
F 0.000 0.711 0.000
F 0.475 0.674 0.851

Formation energy from raw total energies   -2.97 eV/atom
Raw total energy   -73.62 eV per cell
Size of the total moment   0.00 μB/cell

=====

Entry 18:
First-principles (PBE) data for a geometry-optimized HfIF2 structure, as listed in Alexandria via LeMat-Bulk.

Lattice parameters (Å, degrees): 4.779 4.779 7.665 71.84 71.84 90.00
Site moments in Bohr magnetons follow the coordinates.
Fractional positions:
I 0.500 0.500 0.000  -0.01
I 0.250 0.750 0.500  -0.01
Hf 0.000 0.000 0.000  0.54
Hf 0.750 0.250 0.500  0.54
F 0.875 0.125 0.250  0.00
F 0.875 0.625 0.250  0.00
F 0.375 0.125 0.750  0.00
F 0.875 0.125 0.750  0.00

Formation energy from raw total energies   -2.09 eV/atom
Raw total energy   -47.22 eV per cell
Size of the total moment   1.63 μB/cell

=====

Entry 19:
First-principles (PBE) data for a geometry-optimized HfIF2 structure, as listed in Alexandria via LeMat-Bulk.

Lattice parameters (Å, degrees): 11.022 11.022 11.022 16.16 16.16 16.16
Site moments in Bohr magnetons follow the coordinates.
Fractional positions:
I 0.000 0.000 0.000  0.00
Hf 0.500 0.500 0.500  0.13
F 0.878 0.878 0.878  0.01
F 0.122 0.122 0.122  0.01

Formation energy from raw total energies   -1.78 eV/atom
Raw total energy   -22.36 eV per cell
Size of the total moment   0.21 μB/cell

=====

Entry 20:
First-principles (PBE) data for a geometry-optimized HfIn2I4F2 structure, as listed in Alexandria via LeMat-Bulk.

Lattice parameters (Å, degrees): 7.072 7.222 7.222 71.62 95.97 95.97
Fractional positions:
Hf 0.500 0.000 0.000
In 0.392 0.657 0.657
In 0.608 0.343 0.343
I 0.249 0.650 0.133
I 0.751 0.867 0.350
I 0.751 0.350 0.867
I 0.249 0.133 0.650
F 0.371 0.139 0.139
F 0.629 0.861 0.861

Formation energy from raw total energies   -1.45 eV/atom
Raw total energy   -38.39 eV per cell
Size of the total moment   0.00 μB/cell